(1)
VASP calculation (PBE-GGA) on a relaxed structure of Y2TmAl3AgPt2.

a b c (Å): 3.8914 12.6834 7.3678
angles (deg): 90.00 90.00 90.00
Space group Amm2 (No. 38)
Symmetry-distinct sites (fractional):
Y 0.0000 0.2066 0.0000
Tm 0.0000 0.0000 0.6219
Al 0.5000 0.0000 0.9482
Al 0.5000 0.1293 0.3377
Ag 0.0000 0.0000 0.2105
Pt 0.5000 0.1636 0.7056


(2)
VASP calculation (PBE-GGA) on a relaxed structure of Y2Al4AgPt.

a b c (Å): 6.8201 4.3940 10.3016
angles (deg): 90.00 90.00 90.00
Space group Amm2 (No. 38)
Symmetry-distinct sites (fractional):
Y 0.0000 0.0000 0.0000
Y 0.5000 0.0000 0.1540
Al 0.1929 0.0000 0.7104
Al 0.2973 0.0000 0.4430
Ag 0.5000 0.0000 0.8687
Pt 0.0000 0.0000 0.2835


Number 1: energy -5.72 eV per atom. Number 2: energy -5.30 eV per atom.